Below is Y2TiGaO after structural relaxation, with properties calculated at the PBE-GGA level.

Unit cell a=4.8150 b=4.8150 c=4.0535 alpha=90.00 beta=90.00 gamma=90.00
Last column: nearest neighbours and their distance in Å.
Space group P4/mmm (No. 123)
Inequivalent atoms, fractional coordinates:
Y 0.0000 0.5000 0.0000 [2 per cell]  2 O 2.41
Ti 0.0000 0.0000 0.5000 [1 per cell]  2 O 2.03
Ga 0.5000 0.5000 0.5000 [1 per cell]  8 Y 3.15, 4 Ti 3.40
O 0.0000 0.0000 0.0000 [1 per cell]  2 Ti 2.03

For the final energy, the calculation gives -35.47 eV per cell. The density of states at the Fermi level comes out at 0.54 states/eV per atom. For the formation energy (no corrections), the calculation gives -1.332 eV per atom.

=====

Below is Tl2GaO after structural relaxation, with properties calculated at the PBE-GGA level.

Unit cell a=7.1463 b=7.1463 c=7.4393 alpha=90.00 beta=90.00 gamma=90.00
Last column: nearest neighbours and their distance in Å.
Space group I-42d (No. 122)
Inequivalent atoms, fractional coordinates:
Tl 0.1853 0.2500 0.1250 [8 per cell]  2 O 2.41
Ga 0.0000 0.0000 0.5000 [4 per cell]  4 Tl 3.02
O 0.0000 0.0000 0.0000 [4 per cell]  4 Tl 2.41

For the final energy, the calculation gives -53.78 eV per cell. The density of states at the Fermi level comes out at 0.25 states/eV per atom. As for the distance to the lowest polymorph of the same formula: 0.000 eV/atom. For the formation energy (no corrections), the calculation gives -0.182 eV per atom.

=====

Below is Tl3GaO after structural relaxation, with properties calculated at the PBE-GGA level.

Unit cell a=5.0928 b=5.0928 c=5.0928 alpha=90.00 beta=90.00 gamma=90.00
Last column: nearest neighbours and their distance in Å.
Space group Pm-3m (No. 221)
Inequivalent atoms, fractional coordinates:
Tl 0.0000 0.0000 0.5000 [3 per cell]  2 O 2.55
Ga 0.5000 0.5000 0.5000 [1 per cell]  12 Tl 3.60
O 0.0000 0.0000 0.0000 [1 per cell]  6 Tl 2.55

For the final energy, the calculation gives -15.16 eV per cell. The density of states at the Fermi level comes out at 0.79 states/eV per atom. As for the distance to the lowest polymorph of the same formula: 0.000 eV/atom. For the formation energy (no corrections), the calculation gives -0.014 eV per atom.

=====

Below is TlGaO3 after structural relaxation, with properties calculated at the PBE-GGA level.

Unit cell a=5.4019 b=5.4019 c=14.7288 alpha=90.00 beta=90.00 gamma=120.00
Last column: nearest neighbours and their distance in Å.
Space group R-3 (No. 148, hexagonal axes)
Inequivalent atoms, fractional coordinates:
Tl 0.0000 0.0000 0.1309 [6 per cell]  6 O 2.21-2.46
Ga 0.0000 0.0000 0.3467 [6 per cell]  6 O 2.00-2.08
O 0.0190 0.6299 0.9243 [18 per cell]  2 Ga 2.00-2.08, 1 Tl 2.21

For the final energy, the calculation gives -157.73 eV per cell. The density of states at the Fermi level comes out at 0.64 states/eV per atom. For the formation energy (no corrections), the calculation gives -1.204 eV per atom.

=====

Below is TlGaO3 after structural relaxation, with properties calculated at the PBE-GGA level.

Unit cell a=4.1724 b=4.1724 c=4.1724 alpha=90.00 beta=90.00 gamma=90.00
Last column: nearest neighbours and their distance in Å.
Space group Pm-3m (No. 221)
Inequivalent atoms, fractional coordinates:
Tl 0.0000 0.0000 0.0000 [1 per cell]  6 O 2.09
Ga 0.5000 0.5000 0.5000 [1 per cell]  12 O 2.95
O 0.0000 0.0000 0.5000 [3 per cell]  2 Tl 2.09

For the final energy, the calculation gives -19.68 eV per cell. The density of states at the Fermi level comes out at 0.70 states/eV per atom. For the formation energy (no corrections), the calculation gives 0.118 eV per atom.

=====

Below is TlGaO3 after structural relaxation, with properties calculated at the PBE-GGA level.

Unit cell a=5.4917 b=7.9002 c=5.3512 alpha=90.00 beta=90.00 gamma=90.00
Last column: nearest neighbours and their distance in Å.
Space group Pnma (No. 62)
Inequivalent atoms, fractional coordinates:
Tl 0.0475 0.2500 0.0186 [4 per cell]  4 O 2.23-2.32
Ga 0.0000 0.0000 0.5000 [4 per cell]  6 O 2.00-2.08
O 0.0492 0.7500 0.3870 [4 per cell]  2 Ga 2.08, 2 Tl 2.23-2.32
O 0.2059 0.5614 0.7975 [8 per cell]  2 Ga 2.00-2.01

For the final energy, the calculation gives -105.02 eV per cell. The density of states at the Fermi level comes out at 0.02 states/eV per atom. For the formation energy (no corrections), the calculation gives -1.198 eV per atom.

=====

Below is Tl5Ga2O6 after structural relaxation, with properties calculated at the PBE-GGA level.

Unit cell a=10.1169 b=7.2208 c=14.2723 alpha=90.00 beta=98.68 gamma=90.00
Last column: nearest neighbours and their distance in Å.
Space group C2/c (No. 15)
Inequivalent atoms, fractional coordinates:
Tl 0.0000 0.0175 0.2500 [4 per cell]  2 O 2.53
Tl 0.0781 0.2342 0.9741 [8 per cell]  3 O 2.47-2.71
Tl 0.1329 0.4664 0.1874 [8 per cell]  3 O 2.42-2.56
Ga 0.2441 0.3432 0.4160 [8 per cell]  4 O 1.84-1.93
O 0.1156 0.2059 0.6528 [8 per cell]  1 Ga 1.88
O 0.1196 0.4891 0.8596 [8 per cell]  1 Ga 1.84
O 0.1725 0.1132 0.4555 [8 per cell]  2 Ga 1.92-1.93

For the final energy, the calculation gives -243.53 eV per cell. The density of states at the Fermi level comes out at 0.38 states/eV per atom. For the formation energy (no corrections), the calculation gives -1.019 eV per atom.

=====

Below is Tl3GaO after structural relaxation, with properties calculated at the PBE-GGA level.

Unit cell a=5.3916 b=5.3916 c=5.3916 alpha=90.00 beta=90.00 gamma=90.00
Last column: nearest neighbours and their distance in Å.
Space group Pm-3m (No. 221)
Inequivalent atoms, fractional coordinates:
Tl 0.0000 0.0000 0.5000 [3 per cell]  2 Ga 2.70
Ga 0.0000 0.0000 0.0000 [1 per cell]  6 Tl 2.70
O 0.5000 0.5000 0.5000 [1 per cell]  12 Tl 3.81

For the final energy, the calculation gives -12.64 eV per cell. The density of states at the Fermi level comes out at 0.34 states/eV per atom. As for the distance to the lowest polymorph of the same formula: 0.504 eV/atom. For the formation energy (no corrections), the calculation gives 0.489 eV per atom.